No. 1
PBE-GGA FeTc2Ag, relaxed; crystal system = tetragonal; relative energy among the computed polymorphs = 126 meV/atom; space-group type = P4/mmm
1.0
3.765 0.000 0.000
0.000 3.764 0.000
0.000 0.000 4.092
Fe Tc Ag
1 2 1
direct
0.000 0.500 0.500
0.000 0.000 0.000
0.500 0.500 0.000
0.500 0.000 0.500

No. 2
PBE-GGA MnSnBiAu2, relaxed; crystal system = tetragonal; space-group type = P4/mmm
1.0
5.061 0.000 0.000
0.000 5.027 0.000
0.000 0.000 5.061
Au Bi Mn Sn
2 1 1 1
direct
0.500 0.000 0.000
0.000 0.000 0.500
0.500 0.500 0.500
0.000 0.000 0.000
0.000 0.500 0.000

No. 3
PBE-GGA Tb8AlRh2, relaxed; crystal system = monoclinic; space-group type = C2/m
1.0
-4.297 -2.290 2.398
5.240 -5.799 1.407
0.756 6.234 4.861
Tb Rh Al
8 2 1
direct
0.809 0.620 0.620
0.191 0.387 0.387
0.426 0.677 0.930
0.000 0.759 0.247
0.000 0.247 0.759
0.426 0.930 0.677
0.574 0.076 0.329
0.574 0.329 0.076
0.500 0.309 0.697
0.500 0.697 0.309
0.000 0.003 0.003

No. 4
PBE-GGA TaRuW, relaxed; crystal system = trigonal; relative energy among the computed polymorphs = 72 meV/atom; space-group type = P3m1
1.0
4.463 0.000 0.000
-2.232 3.865 0.000
0.000 0.000 2.801
Ru W Ta
1 1 1
direct
0.000 0.000 0.999
0.333 0.667 0.667
0.667 0.333 0.334

Number 1: Fermi-level density of states 2.7 states/eV per cell, VASP energy -30.27 eV/cell, energy relative to the elements 0.444 eV per atom. Number 2: Fermi-level density of states 3.4 states/eV per cell, VASP energy -21.45 eV/cell, energy relative to the elements 0.431 eV per atom. Number 3: Fermi-level density of states 13.5 states/eV per cell, VASP energy -59.05 eV/cell, energy relative to the elements -0.324 eV per atom. Number 4: Fermi-level density of states 3.9 states/eV per cell, VASP energy -33.90 eV/cell, energy relative to the elements 0.059 eV per atom.